This record from Alexandria describes a relaxed LaMn2Ru crystal. The functional is PBEsol.

Results
energy of formation from the pure elements	0.375	eV per atom

Unit cell a=3.072 b=3.072 c=7.249 alpha=90.00 beta=90.00 gamma=90.00
Atoms (fractional coordinates):
La (0.000, 0.000, 0.000)
Mn (0.500, 0.500, 0.316)
Mn (0.500, 0.500, 0.684)
Ru (0.000, 0.000, 0.500)

***

This record from Alexandria describes a relaxed ZrTlZn2 crystal. The functional is PBEsol.

Results
energy of formation from the pure elements	-0.063	eV per atom

Unit cell a=3.067 b=4.392 c=5.606 alpha=90.00 beta=90.00 gamma=90.00
Atoms (fractional coordinates):
Zr (0.000, 0.000, 0.000)
Tl (0.500, 0.000, 0.500)
Zn (0.500, 0.500, 0.219)
Zn (0.500, 0.500, 0.781)

***

This record from Alexandria describes a relaxed BaLaCl5 crystal. The functional is PBEsol.

Results
formation energy (no corrections)	-2.376	eV/atom

Unit cell a=7.411 b=4.490 c=13.022 alpha=90.00 beta=92.36 gamma=90.00
Atoms (fractional coordinates):
Ba (0.054, 0.250, 0.342)
Ba (0.946, 0.750, 0.658)
La (0.439, 0.750, 0.151)
La (0.561, 0.250, 0.849)
Cl (0.070, 0.750, 0.161)
Cl (0.160, 0.250, 0.571)
Cl (0.322, 0.250, 0.022)
Cl (0.348, 0.750, 0.790)
Cl (0.368, 0.750, 0.354)
Cl (0.632, 0.250, 0.646)
Cl (0.652, 0.250, 0.210)
Cl (0.678, 0.750, 0.978)
Cl (0.840, 0.750, 0.429)
Cl (0.930, 0.250, 0.839)

***

This record from Alexandria describes a relaxed TiSiAu2 crystal. The functional is PBEsol.

Results
formation energy (no corrections)	-0.109	eV/atom

Unit cell a=10.018 b=10.018 c=10.018 alpha=158.37 beta=158.37 gamma=30.77
Atoms (fractional coordinates):
Ti (0.000, 0.000, 0.000)
Ti (0.750, 0.250, 0.500)
Si (0.250, 0.750, 0.500)
Si (0.500, 0.500, 0.000)
Au (0.129, 0.625, 0.004)
Au (0.375, 0.379, 0.504)
Au (0.621, 0.125, 0.996)
Au (0.875, 0.871, 0.496)

***

This record from Alexandria describes a relaxed HfZnCd2Cl crystal. The functional is PBEsol.

Results
formation energy (no corrections)	0.420	eV/atom

Unit cell a=4.833 b=4.833 c=5.140 alpha=90.00 beta=90.00 gamma=90.00
Atoms (fractional coordinates):
Hf (0.000, 0.000, 0.000)
Zn (0.000, 0.000, 0.500)
Cd (0.000, 0.500, 0.500)
Cd (0.500, 0.000, 0.500)
Cl (0.500, 0.500, 0.000)

***

This record from Alexandria describes a relaxed ZrMn2Os crystal. The functional is PBEsol.

Results
energy of formation from the pure elements	0.179	eV per atom

Unit cell a=4.781 b=4.781 c=4.781 alpha=132.79 beta=132.79 gamma=68.99
Atoms (fractional coordinates):
Zr (0.000, 0.000, 0.000)
Mn (0.250, 0.750, 0.500)
Mn (0.750, 0.250, 0.500)
Os (0.500, 0.500, 0.000)

***

This record from Alexandria describes a relaxed Sr2LaBe crystal. The functional is PBEsol.

Results
energy of formation from the pure elements	0.518	eV per atom

Unit cell a=4.922 b=4.922 c=5.394 alpha=90.00 beta=90.00 gamma=90.00
Atoms (fractional coordinates):
Sr (0.000, 0.500, 0.000)
Sr (0.500, 0.000, 0.000)
La (0.000, 0.000, 0.500)
Be (0.500, 0.500, 0.500)

***

This record from Alexandria describes a relaxed Tl2HgPb crystal. The functional is PBEsol.

Results
energy of formation from the pure elements	0.004	eV per atom

Unit cell a=6.266 b=6.266 c=3.793 alpha=107.50 beta=107.50 gamma=51.05
Atoms (fractional coordinates):
Tl (0.000, 0.000, 0.000)
Tl (0.740, 0.740, 0.240)
Hg (0.504, 0.504, 0.504)
Pb (0.265, 0.265, 0.765)

***

This record from Alexandria describes a relaxed Mg2AlTeAs crystal. The functional is PBEsol.

Results
formation energy (no corrections)	0.555	eV/atom

Unit cell a=5.259 b=5.259 c=5.288 alpha=90.00 beta=90.00 gamma=90.00
Atoms (fractional coordinates):
Mg (0.000, 0.500, 0.000)
Mg (0.500, 0.000, 0.000)
Al (0.000, 0.000, 0.500)
Te (0.000, 0.000, 0.000)
As (0.500, 0.500, 0.500)

***

This record from Alexandria describes a relaxed ZrMnTc3 crystal. The functional is PBEsol.

Results
energy of formation from the pure elements	0.685	eV per atom

Unit cell a=4.362 b=4.362 c=4.362 alpha=90.00 beta=90.00 gamma=90.00
Atoms (fractional coordinates):
Zr (0.000, 0.000, 0.000)
Mn (0.500, 0.500, 0.500)
Tc (0.000, 0.500, 0.500)
Tc (0.500, 0.000, 0.500)
Tc (0.500, 0.500, 0.000)

***

This record from Alexandria describes a relaxed RbH3Au crystal. The functional is PBEsol.

Results
total energy	-3.04	eV per atom

Unit cell a=3.921 b=3.921 c=3.921 alpha=90.00 beta=90.00 gamma=90.00
Atoms (fractional coordinates):
Rb (0.000, 0.000, 0.000)
H (0.000, 0.500, 0.500)
H (0.500, 0.000, 0.500)
H (0.500, 0.500, 0.000)
Au (0.500, 0.500, 0.500)

***

This record from Alexandria describes a relaxed K2ScIr crystal. The functional is PBEsol.

Results
energy of formation from the pure elements	0.830	eV per atom

Unit cell a=6.367 b=6.367 c=3.151 alpha=90.00 beta=90.00 gamma=129.92
Atoms (fractional coordinates):
K (0.000, 0.500, 0.000)
K (0.500, 0.000, 0.000)
Sc (0.000, 0.000, 0.500)
Ir (0.500, 0.500, 0.500)

***

This record from Alexandria describes a relaxed IrPbBr crystal. The functional is PBEsol.

Results
formation energy (no corrections)	0.550	eV/atom

Unit cell a=6.536 b=6.536 c=6.536 alpha=151.38 beta=151.38 gamma=40.92
Atoms (fractional coordinates):
Ir (0.000, 0.000, 0.000)
Pb (0.359, 0.359, 0.000)
Br (0.642, 0.642, 0.000)

***

This record from Alexandria describes a relaxed KRb3Mo crystal. The functional is PBEsol.

Results
energy of formation from the pure elements	1.133	eV per atom

Unit cell a=7.222 b=7.222 c=7.222 alpha=90.00 beta=90.00 gamma=90.00
Atoms (fractional coordinates):
K (0.000, 0.000, 0.000)
Rb (0.000, 0.500, 0.500)
Rb (0.500, 0.000, 0.500)
Rb (0.500, 0.500, 0.000)
Mo (0.500, 0.500, 0.500)

***

This record from Alexandria describes a relaxed Be2InP2 crystal. The functional is PBEsol.

Results
energy of formation from the pure elements	-0.087	eV per atom

Unit cell a=6.974 b=6.974 c=6.974 alpha=151.30 beta=151.30 gamma=41.04
Atoms (fractional coordinates):
Be (0.250, 0.750, 0.500)
Be (0.750, 0.250, 0.500)
In (0.000, 0.000, 0.000)
P (0.353, 0.353, 0.000)
P (0.647, 0.647, 0.000)

***

This record from Alexandria describes a relaxed KW3I crystal. The functional is PBEsol.

Results
formation energy (no corrections)	3.950	eV/atom

Unit cell a=4.625 b=4.625 c=4.625 alpha=90.00 beta=90.00 gamma=90.00
Atoms (fractional coordinates):
K (0.000, 0.000, 0.000)
W (0.000, 0.000, 0.500)
W (0.000, 0.500, 0.000)
W (0.500, 0.000, 0.000)
I (0.500, 0.500, 0.500)

***

This record from Alexandria describes a relaxed ZrRu2Br crystal. The functional is PBEsol.

Results
formation energy (no corrections)	0.357	eV/atom

Unit cell a=5.059 b=5.059 c=5.059 alpha=134.80 beta=134.80 gamma=65.84
Atoms (fractional coordinates):
Zr (0.000, 0.000, 0.000)
Ru (0.250, 0.750, 0.500)
Ru (0.750, 0.250, 0.500)
Br (0.500, 0.500, 0.000)

***

This record from Alexandria describes a relaxed AlNiRh crystal. The functional is PBEsol.

Results
energy of formation from the pure elements	-0.441	eV per atom

Unit cell a=4.021 b=4.021 c=2.681 alpha=90.00 beta=90.00 gamma=120.00
Atoms (fractional coordinates):
Al (0.000, 0.000, 0.000)
Ni (0.667, 0.333, 0.055)
Rh (0.333, 0.667, 0.536)

***

This record from Alexandria describes a relaxed Cd2HgPb crystal. The functional is PBEsol.

Results
energy of formation from the pure elements	0.043	eV per atom

Unit cell a=10.064 b=10.064 c=10.064 alpha=19.15 beta=19.15 gamma=19.15
Atoms (fractional coordinates):
Cd (0.244, 0.244, 0.244)
Cd (0.756, 0.756, 0.756)
Hg (0.500, 0.500, 0.500)
Pb (0.000, 0.000, 0.000)

***

This record from Alexandria describes a relaxed Li2BePt crystal. The functional is PBEsol.

Results
energy of formation from the pure elements	-0.371	eV per atom

Unit cell a=2.859 b=2.859 c=6.686 alpha=90.00 beta=90.00 gamma=90.00
Atoms (fractional coordinates):
Li (0.000, 0.000, 0.000)
Li (0.500, 0.500, 0.330)
Be (0.500, 0.500, 0.746)
Pt (0.000, 0.000, 0.586)

***

This record from Alexandria describes a relaxed EuCo2SiGe crystal. The functional is PBEsol.

Results
formation energy (no corrections)	-0.653	eV/atom

Unit cell a=5.765 b=5.765 c=5.765 alpha=140.49 beta=140.49 gamma=57.11
Atoms (fractional coordinates):
Eu (0.000, 0.000, 0.000)
Co (0.245, 0.745, 0.500)
Co (0.745, 0.245, 0.500)
Si (0.635, 0.635, 0.000)
Ge (0.369, 0.369, 0.000)

***

This record from Alexandria describes a relaxed RbBeCoPd2 crystal. The functional is PBEsol.

Results
energy of formation from the pure elements	1.008	eV per atom

Unit cell a=4.254 b=4.254 c=5.138 alpha=90.00 beta=90.00 gamma=90.00
Atoms (fractional coordinates):
Rb (0.000, 0.000, 0.000)
Be (0.000, 0.000, 0.500)
Co (0.500, 0.500, 0.000)
Pd (0.000, 0.500, 0.500)
Pd (0.500, 0.000, 0.500)

***

This record from Alexandria describes a relaxed Re8Pb8O27 crystal. The functional is PBEsol.

Results
formation energy (no corrections)	-1.358	eV/atom

Unit cell a=7.389 b=7.389 c=10.545 alpha=90.00 beta=90.00 gamma=90.00
Atoms (fractional coordinates):
Re (0.000, 0.247, 0.129)
Re (0.000, 0.753, 0.129)
Re (0.247, 0.000, 0.871)
Re (0.252, 0.500, 0.373)
Re (0.500, 0.252, 0.627)
Re (0.500, 0.748, 0.627)
Re (0.748, 0.500, 0.373)
Re (0.753, 0.000, 0.871)
Pb (0.000, 0.260, 0.617)
Pb (0.000, 0.740, 0.617)
Pb (0.244, 0.500, 0.895)
Pb (0.260, 0.000, 0.383)
Pb (0.500, 0.244, 0.105)
Pb (0.500, 0.756, 0.105)
Pb (0.740, 0.000, 0.383)
Pb (0.756, 0.500, 0.895)
O (0.000, 0.000, 0.173)
O (0.000, 0.000, 0.500)
O (0.000, 0.000, 0.827)
O (0.000, 0.500, 0.049)
O (0.000, 0.500, 0.453)
O (0.000, 0.500, 0.783)
O (0.180, 0.321, 0.250)
O (0.180, 0.679, 0.250)
O (0.196, 0.196, 0.000)
O (0.196, 0.804, 0.000)
O (0.303, 0.303, 0.500)
O (0.303, 0.697, 0.500)
O (0.321, 0.180, 0.750)
O (0.321, 0.820, 0.750)
O (0.500, 0.000, 0.217)
O (0.500, 0.000, 0.547)
O (0.500, 0.000, 0.951)
O (0.500, 0.500, 0.329)
O (0.500, 0.500, 0.671)
O (0.679, 0.180, 0.750)
O (0.679, 0.820, 0.750)
O (0.697, 0.303, 0.500)
O (0.697, 0.697, 0.500)
O (0.804, 0.196, 0.000)
O (0.804, 0.804, 0.000)
O (0.820, 0.321, 0.250)
O (0.820, 0.679, 0.250)

***

This record from Alexandria describes a relaxed Sc3OsC4 crystal. The functional is PBEsol.

Results
energy of formation from the pure elements	-0.508	eV per atom

Unit cell a=6.741 b=6.741 c=6.620 alpha=104.24 beta=104.24 gamma=38.62
Atoms (fractional coordinates):
Sc (0.000, 0.000, 0.000)
Sc (0.000, 0.000, 0.500)
Sc (0.308, 0.308, 0.403)
Sc (0.310, 0.310, 0.905)
Sc (0.690, 0.690, 0.095)
Sc (0.692, 0.692, 0.597)
Os (0.500, 0.500, 0.263)
Os (0.500, 0.500, 0.737)
C (0.034, 0.710, 0.187)
C (0.035, 0.711, 0.685)
C (0.289, 0.965, 0.315)
C (0.290, 0.966, 0.813)
C (0.710, 0.034, 0.187)
C (0.711, 0.035, 0.685)
C (0.965, 0.289, 0.315)
C (0.966, 0.290, 0.813)

***

This record from Alexandria describes a relaxed Sc2Al2Cu crystal. The functional is PBEsol.

Results
energy of formation from the pure elements	-0.346	eV per atom

Unit cell a=6.422 b=6.422 c=4.391 alpha=90.00 beta=90.00 gamma=90.00
Atoms (fractional coordinates):
Sc (0.166, 0.334, 0.000)
Sc (0.334, 0.834, 0.000)
Sc (0.666, 0.166, 0.000)
Sc (0.834, 0.666, 0.000)
Al (0.142, 0.642, 0.500)
Al (0.358, 0.142, 0.500)
Al (0.642, 0.858, 0.500)
Al (0.858, 0.358, 0.500)
Cu (0.000, 0.000, 0.500)
Cu (0.500, 0.500, 0.500)

***

This record from Alexandria describes a relaxed Y3NiRu crystal. The functional is PBEsol.

Results
energy of formation from the pure elements	0.328	eV per atom

Unit cell a=5.163 b=5.163 c=5.163 alpha=90.00 beta=90.00 gamma=90.00
Atoms (fractional coordinates):
Y (0.000, 0.000, 0.500)
Y (0.000, 0.500, 0.000)
Y (0.500, 0.000, 0.000)
Ni (0.500, 0.500, 0.500)
Ru (0.000, 0.000, 0.000)

***

Total magnetic moment per entry: 6.1, 0.0, 0.0, 0.0, 0.0, 4.7, 0.0, 0.0, 0.0, 0.0, 0.0, 0.8, 0.0, 5.4, 0.0, 0.0, 0.0, 0.0, 0.0, 0.0, 6.9, 1.9, 0.0, 0.0, 0.0, 0.0 μB per cell